A plane-wave DFT calculation with GGA-PBE was carried out for a geometry-optimized K10Bi2H3 structure.

Lattice parameters (Å, degrees): 8.049 11.558 13.115 110.14 107.87 90.00
Fractional positions:
H 0.075 0.478 0.150
H 0.176 0.003 0.352
H 0.925 0.522 0.850
H 0.257 0.000 0.000
H 0.743 0.000 0.000
H 0.824 0.997 0.648
K 0.528 0.196 0.056
K 0.859 0.259 0.719
K 0.916 0.490 0.323
K 0.406 0.490 0.323
K 0.155 0.984 0.776
K 0.141 0.741 0.281
K 0.621 0.984 0.776
K 0.594 0.510 0.677
K 0.379 0.016 0.224
K 0.845 0.016 0.224
K 0.750 0.500 0.000
K 0.000 0.000 0.500
K 0.500 0.000 0.500
K 0.472 0.804 0.944
K 0.767 0.739 0.535
K 0.084 0.510 0.677
K 0.973 0.797 0.945
K 0.027 0.203 0.055
K 0.233 0.261 0.465
K 0.250 0.500 0.000
Bi 0.711 0.282 0.421
Bi 0.289 0.718 0.579
Bi 0.387 0.263 0.774
Bi 0.613 0.737 0.226

Output
total magnetic moment	1.47	μB per cell
volume	1083	Å³ per cell
raw total energy	-2.134	eV per atom